Version P
{"formula": "RuRhSe2", "functional": "PBE-GGA", "state": "relaxed", "m_tot_mub_per_cell": 0.00, "cell": [[3.000, -0.002, 0.000], [-1.536, 2.577, 0.000], [0.000, 0.000, 8.498]], "species": ["Se", "Se", "Rh", "Ru"], "fractional_positions": [[0.000, 0.000, 0.995], [0.000, 0.000, 0.505], [0.500, 0.500, 0.250], [0.500, 0.500, 0.750]]}

---

Version Q
{"formula": "RuRhSe2", "functional": "PBE-GGA", "state": "relaxed", "m_tot_mub_per_cell": 0.00, "cell": [[3.616, 0.000, 0.000], [0.000, 3.252, 0.081], [0.000, 3.078, 6.319]], "species": ["Se", "Se", "Ru", "Rh"], "fractional_positions": [[0.000, 0.110, 0.892], [0.500, 0.136, 0.362], [0.500, 0.752, 0.749], [0.000, 0.502, 0.497]]}

---

Version R
{"formula": "RuRhSe2", "functional": "PBE-GGA", "state": "relaxed", "m_tot_mub_per_cell": 0.00, "cell": [[-4.984, -0.332, -2.448], [-2.349, -1.071, 4.927], [-4.423, 4.687, 2.050]], "species": ["Rh", "Rh", "Se", "Se", "Se", "Se", "Ru", "Ru"], "fractional_positions": [[0.000, 0.000, 0.000], [0.750, 0.250, 0.500], [0.131, 0.625, 0.250], [0.375, 0.381, 0.750], [0.619, 0.125, 0.250], [0.875, 0.869, 0.750], [0.500, 0.500, 0.000], [0.250, 0.750, 0.500]]}

---

Version S
{"formula": "RuRhSe2", "functional": "PBE-GGA", "state": "relaxed", "m_tot_mub_per_cell": 0.00, "cell": [[1.915, 0.000, 7.892], [-0.957, 1.658, 7.892], [-0.957, -1.658, 7.892]], "species": ["Rh", "Se", "Se", "Ru"], "fractional_positions": [[0.500, 0.500, 0.500], [0.901, 0.901, 0.901], [0.099, 0.099, 0.099], [0.000, 0.000, 0.000]]}

---

version Q is preferred energetically. Next in line: 116 meV per atom higher.

---

Version P
{"formula": "RuRhSe2", "functional": "PBE-GGA", "state": "relaxed", "m_tot_mub_per_cell": 0.00, "cell": [[-0.825, 3.618, 2.071], [-3.099, 1.533, 2.471], [1.851, -1.078, 4.907]], "species": ["Se", "Se", "Ru", "Rh"], "fractional_positions": [[0.989, 0.989, 0.006], [0.511, 0.511, 0.494], [0.250, 0.250, 0.250], [0.750, 0.750, 0.750]]}

---

Version Q
{"formula": "RuRhSe2", "functional": "PBE-GGA", "state": "relaxed", "m_tot_mub_per_cell": 0.01, "cell": [[-1.854, -1.666, 1.793], [2.413, -1.621, 0.989], [1.066, 5.222, 5.957]], "species": ["Ru", "Se", "Se", "Rh"], "fractional_positions": [[0.500, 0.500, 0.755], [0.500, 0.500, 0.341], [0.000, 0.000, 0.912], [0.000, 0.000, 0.492]]}

---

version Q is preferred energetically. Next in line: 162 meV per atom higher.

---

Version P
{"formula": "RuRhSe2", "functional": "PBE-GGA", "state": "relaxed", "m_tot_mub_per_cell": 0.00, "cell": [[-2.288, -1.693, 0.863], [0.802, -3.162, -4.076], [2.622, -2.351, 2.340]], "species": ["Rh", "Ru", "Se", "Se"], "fractional_positions": [[0.500, 0.000, 0.500], [0.000, 0.500, 0.500], [0.000, 0.000, 0.000], [0.500, 0.500, 0.000]]}

---

Version Q
{"formula": "RuRhSe2", "functional": "PBE-GGA", "state": "relaxed", "m_tot_mub_per_cell": 0.00, "cell": [[-1.390, -4.035, -2.152], [-2.120, -4.169, 0.982], [-4.431, 1.035, -0.989]], "species": ["Se", "Se", "Ru", "Rh"], "fractional_positions": [[0.755, 0.755, 0.629], [0.991, 0.991, 0.058], [0.266, 0.266, 0.217], [0.488, 0.488, 0.596]]}

---

version Q is preferred energetically. Next in line: 426 meV per atom higher.

---

Version P
{"formula": "RuRh3Se", "functional": "PBE-GGA", "state": "relaxed", "m_tot_mub_per_cell": 3.91, "cell": [[4.531, 0.000, 0.000], [0.000, 4.531, 0.000], [0.000, 0.000, 4.531]], "species": ["Rh", "Rh", "Rh", "Ru", "Se"], "fractional_positions": [[0.500, 0.000, 0.000], [0.000, 0.500, 0.000], [0.000, 0.000, 0.500], [0.500, 0.500, 0.500], [0.000, 0.000, 0.000]]}

---

Version Q
{"formula": "RuRh3Se", "functional": "PBE-GGA", "state": "relaxed", "m_tot_mub_per_cell": 0.00, "cell": [[-2.761, -2.949, -2.355], [3.516, -0.949, -2.933], [1.371, -3.503, 2.778]], "species": ["Ru", "Rh", "Rh", "Rh", "Se"], "fractional_positions": [[0.000, 0.000, 0.000], [0.000, 0.000, 0.500], [0.500, 0.000, 0.000], [0.000, 0.500, 0.000], [0.500, 0.500, 0.500]]}

---

version P is preferred energetically. Next in line: 367 meV per atom higher.

---

Version P
{"formula": "Ru3RhSe", "functional": "PBE-GGA", "state": "relaxed", "m_tot_mub_per_cell": 0.00, "cell": [[4.466, 0.000, 0.000], [0.000, 4.466, 0.000], [0.000, 0.000, 4.466]], "species": ["Rh", "Ru", "Ru", "Ru", "Se"], "fractional_positions": [[0.500, 0.500, 0.500], [0.000, 0.500, 0.000], [0.500, 0.000, 0.000], [0.000, 0.000, 0.500], [0.000, 0.000, 0.000]]}

---

Version Q
{"formula": "Ru3RhSe", "functional": "PBE-GGA", "state": "relaxed", "m_tot_mub_per_cell": 3.84, "cell": [[-0.799, -1.198, -4.477], [4.635, -0.198, -0.775], [0.009, -4.544, 1.214]], "species": ["Se", "Ru", "Ru", "Ru", "Rh"], "fractional_positions": [[0.500, 0.500, 0.500], [0.000, 0.000, 0.500], [0.000, 0.500, 0.000], [0.500, 0.000, 0.000], [0.000, 0.000, 0.000]]}

---

version P is preferred energetically. Next in line: 643 meV per atom higher.

---

Version P
{"formula": "SiRuRh3", "functional": "PBE-GGA", "state": "relaxed", "m_tot_mub_per_cell": 4.62, "cell": [[4.379, 0.000, 0.000], [0.000, 4.379, 0.000], [0.000, 0.000, 4.379]], "species": ["Rh", "Rh", "Rh", "Ru", "Si"], "fractional_positions": [[0.500, 0.000, 0.000], [0.000, 0.000, 0.500], [0.000, 0.500, 0.000], [0.500, 0.500, 0.500], [0.000, 0.000, 0.000]]}

---

Version Q
{"formula": "SiRuRh3", "functional": "PBE-GGA", "state": "relaxed", "m_tot_mub_per_cell": 0.00, "cell": [[4.652, 0.000, 0.000], [0.000, 4.652, 0.000], [0.000, 0.000, 4.652]], "species": ["Si", "Rh", "Rh", "Rh", "Ru"], "fractional_positions": [[0.500, 0.500, 0.500], [0.000, 0.000, 0.500], [0.000, 0.500, 0.000], [0.500, 0.000, 0.000], [0.000, 0.000, 0.000]]}

---

version P is preferred energetically. Next in line: 834 meV per atom higher.

---

Version P
{"formula": "Si2RuRh2", "functional": "PBE-GGA", "state": "relaxed", "m_tot_mub_per_cell": 0.42, "cell": [[3.604, 0.000, 0.000], [0.000, 3.604, 0.000], [1.802, 1.802, 5.625]], "species": ["Si", "Si", "Rh", "Rh", "Ru"], "fractional_positions": [[0.250, 0.750, 0.500], [0.750, 0.250, 0.500], [0.387, 0.387, 0.227], [0.613, 0.613, 0.773], [0.000, 0.000, 0.000]]}

---

Version Q
{"formula": "Si2RuRh2", "functional": "PBE-GGA", "state": "relaxed", "m_tot_mub_per_cell": 1.16, "cell": [[6.958, 0.000, 0.000], [0.000, 6.958, 0.000], [0.000, 0.000, 2.772]], "species": ["Si", "Si", "Si", "Si", "Ru", "Ru", "Rh", "Rh", "Rh", "Rh"], "fractional_positions": [[0.346, 0.846, 0.000], [0.154, 0.346, 0.000], [0.846, 0.654, 0.000], [0.654, 0.154, 0.000], [0.500, 0.500, 0.000], [0.000, 0.000, 0.000], [0.855, 0.355, 0.500], [0.145, 0.645, 0.500], [0.645, 0.855, 0.500], [0.355, 0.145, 0.500]]}

---

version Q is preferred energetically. Next in line: 433 meV per atom higher.

---

Version P
{"formula": "SiRuRh", "functional": "PBE-GGA", "state": "relaxed", "m_tot_mub_per_cell": 0.00, "cell": [[-2.258, -1.437, 0.788], [2.428, -1.319, -0.389], [1.435, 0.930, 5.803]], "species": ["Rh", "Si", "Ru"], "fractional_positions": [[0.000, 0.000, 0.972], [0.333, 0.667, 0.666], [0.667, 0.333, 0.362]]}

---

Version Q
{"formula": "SiRuRh", "functional": "PBE-GGA", "state": "relaxed", "m_tot_mub_per_cell": 0.00, "cell": [[3.981, 0.000, 0.000], [1.990, 3.447, 0.000], [1.990, 1.149, 3.250]], "species": ["Rh", "Ru", "Si"], "fractional_positions": [[0.000, 0.000, 0.000], [0.500, 0.500, 0.500], [0.750, 0.750, 0.750]]}

---

Version R
{"formula": "SiRuRh", "functional": "PBE-GGA", "state": "relaxed", "m_tot_mub_per_cell": 0.00, "cell": [[-1.813, -1.114, 1.912], [0.630, -2.630, -0.935], [8.142, 1.263, 6.314]], "species": ["Ru", "Ru", "Si", "Si", "Rh", "Rh"], "fractional_positions": [[0.295, 0.295, 0.590], [0.705, 0.705, 0.410], [0.871, 0.871, 0.742], [0.129, 0.129, 0.258], [0.437, 0.437, 0.874], [0.563, 0.563, 0.126]]}

---

version R is preferred energetically. Next in line: 29 meV per atom higher.